First-principles (PBE) data for a geometry-optimized Dy4Ho9In11 structure, as listed in Alexandria.

Structure (extended XYZ):
```
24
Lattice="7.927 -11.618 0.000 7.927 11.618 0.000 0.000 0.000 3.484" Properties=species:S:1:pos:R:3 pbc="T T T"
Dy 2.729 1.900 0.000
Dy 2.729 -1.900 0.000
Dy 13.124 1.900 0.000
Dy 13.124 -1.900 0.000
Ho 0.000 0.000 0.000
Ho 6.161 6.416 0.000
Ho 6.216 2.216 0.000
Ho 9.693 6.416 0.000
Ho 6.216 -2.216 0.000
Ho 9.638 2.216 0.000
Ho 6.161 -6.416 0.000
Ho 9.638 -2.216 0.000
Ho 9.693 -6.416 0.000
In 4.343 4.258 1.742
In 7.927 8.801 1.742
In 4.666 0.000 1.742
In 7.927 4.359 1.742
In 4.343 -4.258 1.742
In 7.927 0.000 1.742
In 11.510 4.258 1.742
In 7.927 -4.359 1.742
In 11.187 0.000 1.742
In 7.927 -8.801 1.742
In 11.510 -4.258 1.742
```

Calculated values
Space-group type: Cmmm (65)

First-principles (PBE) data for a geometry-optimized Dy3Ho12In structure, as listed in Alexandria.

Structure (extended XYZ):
```
16
Lattice="4.931 0.000 0.000 0.000 4.931 0.000 0.000 0.000 19.996" Properties=species:S:1:pos:R:3 pbc="T T T"
Dy 0.000 0.000 0.000
Dy 0.000 0.000 5.030
Dy 0.000 0.000 14.967
Ho 0.000 2.466 2.530
Ho 0.000 2.466 7.577
Ho 0.000 2.466 12.419
Ho 0.000 2.466 17.466
Ho 2.466 0.000 2.530
Ho 2.466 0.000 7.577
Ho 2.466 0.000 12.419
Ho 2.466 0.000 17.466
Ho 2.466 2.466 0.000
Ho 2.466 2.466 5.107
Ho 2.466 2.466 9.998
Ho 2.466 2.466 14.889
In 0.000 0.000 9.998
```

Calculated values
Space-group type: P4/mmm (123)

First-principles (PBE) data for a geometry-optimized DyHo8In2 structure, as listed in Alexandria.

Structure (extended XYZ):
```
11
Lattice="4.402 -7.553 0.000 4.402 7.553 0.000 -2.422 0.000 5.059" Properties=species:S:1:pos:R:3 pbc="T T T"
Dy 0.000 0.000 0.000
Ho 0.331 1.732 3.160
Ho 4.402 4.298 0.000
Ho 0.331 -1.732 3.160
Ho 3.071 0.000 1.030
Ho 3.311 0.000 4.029
Ho 6.051 1.732 1.899
Ho 4.402 -4.298 0.000
Ho 6.051 -1.732 1.899
In 3.191 2.920 2.530
In 3.191 -2.920 2.530
```

Calculated values
Space-group type: C2/m (12)

First-principles (PBE) data for a geometry-optimized Dy2Ho3In structure, as listed in Alexandria.

Structure (extended XYZ):
```
6
Lattice="2.423 -7.502 0.000 2.423 7.502 0.000 0.000 0.000 4.852" Properties=species:S:1:pos:R:3 pbc="T T T"
Dy 2.423 5.072 0.000
Dy 2.423 -5.072 0.000
Ho 0.000 0.000 2.426
Ho 2.423 2.519 2.426
Ho 2.423 -2.519 2.426
In 2.423 0.000 0.000
```

Calculated values
Excess energy over the best structure of this formula in the dataset: 0.000 eV per atom
Space-group type: Cmmm (65)

First-principles (PBE) data for a geometry-optimized Dy5Ho3In structure, as listed in Alexandria.

Structure (extended XYZ):
```
18
Lattice="6.741 -3.908 0.000 6.741 3.908 0.000 -1.133 0.000 11.259" Properties=species:S:1:pos:R:3 pbc="T T T"
Dy -0.362 0.000 4.141
Dy 4.749 1.650 2.698
Dy 6.741 2.595 0.000
Dy 2.419 0.000 10.868
Dy 7.600 1.650 8.561
Dy 4.749 -1.650 2.698
Dy 9.930 0.000 0.391
Dy 6.741 -2.595 0.000
Dy 7.600 -1.650 8.561
Dy 12.712 0.000 7.118
Ho 1.971 0.000 2.412
Ho 2.593 0.000 5.917
Ho 6.741 0.000 0.000
Ho 6.175 0.000 5.629
Ho 9.757 0.000 5.342
Ho 10.378 0.000 8.847
In 4.591 0.000 8.364
In 7.759 0.000 2.895
```

Calculated values
Space-group type: C2/m (12)

First-principles (PBE) data for a geometry-optimized Dy5Ho8In structure, as listed in Alexandria.

Structure (extended XYZ):
```
14
Lattice="-4.770 4.770 4.926 4.770 -4.770 4.926 4.770 4.770 -4.926" Properties=species:S:1:pos:R:3 pbc="T T T"
Dy 0.000 0.000 0.000
Dy 3.791 2.774 -0.796
Dy 1.996 -0.979 5.722
Dy 0.979 1.996 4.130
Dy 2.774 5.749 0.796
Ho 1.753 -0.826 2.430
Ho 3.017 5.596 -2.497
Ho 0.650 3.104 0.891
Ho 3.944 3.017 2.497
Ho -0.650 6.436 0.891
Ho -1.666 4.120 4.035
Ho 0.826 1.753 7.423
Ho 1.666 5.420 4.035
In 4.770 0.000 2.463
```

Calculated values
Space-group type: I-4 (82)

Calculated values (eV per atom) of calculated formation energy for the records, taken in order: -0.39; -0.05; -0.03; -0.16; 0.42; 0.19.
Calculated values (g/cm3) of theoretical density for the records, taken in order: 8.8; 8.8; 8.4; 8.8; 8.0; 8.3.